Record 1
Computed, not measured: an optimized crystal structure of Cu2Ni5Sb at the PBE-GGA level of DFT.

Values from the calculation:
The magnetization is 0.00 μB/f.u. As for the space group: No. 139. The value obtained for the density of states at the Fermi level is 5.370 states/eV/cell. The energy relative to the elements, uncorrected is -0.0663 eV per atom.

a = 3.757 Å, b = 3.757 Å, c = 7.374 Å
α = 104.76°, β = 104.76°, γ = 90.00°
Fractional coordinates of all 8 atoms:
Cu 0.748 0.748 0.497
Cu 0.252 0.252 0.503
Ni 0.500 0.500 0.000
Ni 0.870 0.370 0.740
Ni 0.370 0.870 0.740
Ni 0.130 0.630 0.260
Ni 0.630 0.130 0.260
Sb 0.000 0.000 0.000


Record 2
Computed, not measured: an optimized crystal structure of CuNiSb2 at the PBE-GGA level of DFT.

Values from the calculation:
The magnetization is 0.00 μB/f.u. As for the space group: No. 99. The value obtained for the density of states at the Fermi level is 3.313 states/eV/cell. The energy relative to the elements, uncorrected is 0.0193 eV per atom.

a = 3.222 Å, b = 3.225 Å, c = 7.529 Å
α = 90.00°, β = 90.00°, γ = 90.00°
Fractional coordinates of all 4 atoms:
Cu 0.000 0.000 0.547
Ni 0.500 0.500 0.711
Sb 0.000 0.000 0.905
Sb 0.500 0.500 0.337


Record 3
Computed, not measured: an optimized crystal structure of CuNi4Sb at the PBE-GGA level of DFT.

Values from the calculation:
The magnetization is 0.00 μB/f.u. As for the space group: No. 12. The value obtained for the density of states at the Fermi level is 4.259 states/eV/cell. The energy relative to the elements, uncorrected is -0.0536 eV per atom.

a = 3.655 Å, b = 4.472 Å, c = 5.839 Å
α = 104.01°, β = 71.76°, γ = 65.88°
Fractional coordinates of all 6 atoms:
Cu 0.000 0.000 0.000
Ni 0.826 0.503 0.844
Ni 0.344 0.990 0.321
Ni 0.174 0.497 0.156
Ni 0.656 0.010 0.679
Sb 0.500 0.500 0.500


Record 4
Computed, not measured: an optimized crystal structure of CuNi2Sb at the PBE-GGA level of DFT.

Values from the calculation:
The magnetization is 0.00 μB/f.u. As for the space group: No. 119. The value obtained for the density of states at the Fermi level is 1.976 states/eV/cell. The energy relative to the elements, uncorrected is -0.0578 eV per atom.

a = 4.705 Å, b = 4.705 Å, c = 4.705 Å
α = 133.47°, β = 133.53°, γ = 67.87°
Fractional coordinates of all 4 atoms:
Sb 0.500 0.500 0.000
Cu 0.250 0.750 0.500
Ni 0.000 0.000 0.000
Ni 0.750 0.250 0.500


Record 5
Computed, not measured: an optimized crystal structure of CuNi2Sb at the PBE-GGA level of DFT.

Values from the calculation:
The magnetization is 0.00 μB/f.u. As for the space group: No. 47. The value obtained for the density of states at the Fermi level is 2.698 states/eV/cell. The energy relative to the elements, uncorrected is 0.0396 eV per atom.

a = 3.274 Å, b = 3.210 Å, c = 6.192 Å
α = 58.77°, β = 90.00°, γ = 90.00°
Fractional coordinates of all 4 atoms:
Cu 0.500 0.750 0.750
Ni 0.000 0.010 0.990
Ni 0.000 0.490 0.510
Sb 0.500 0.250 0.250


Record 6
Computed, not measured: an optimized crystal structure of CuNiSb2 at the PBE-GGA level of DFT.

Values from the calculation:
The magnetization is 0.00 μB/f.u. As for the space group: No. 44. The value obtained for the density of states at the Fermi level is 2.318 states/eV/cell. The energy relative to the elements, uncorrected is 0.1024 eV per atom.

a = 6.667 Å, b = 6.667 Å, c = 6.667 Å
α = 152.83°, β = 145.45°, γ = 44.49°
Fractional coordinates of all 4 atoms:
Cu 0.438 0.438 0.000
Ni 0.225 0.725 0.500
Sb 0.050 0.050 0.000
Sb 0.786 0.286 0.500


Record 7
Computed, not measured: an optimized crystal structure of CuNi2Sb at the PBE-GGA level of DFT.

Values from the calculation:
The magnetization is 0.00 μB/f.u. As for the space group: No. 166. The value obtained for the density of states at the Fermi level is 0.790 states/eV/cell. The energy relative to the elements, uncorrected is 0.2378 eV per atom.

a = 7.040 Å, b = 7.040 Å, c = 7.040 Å
α = 26.30°, β = 26.30°, γ = 26.30°
Fractional coordinates of all 4 atoms:
Cu 0.750 0.750 0.750
Ni 0.004 0.004 0.004
Ni 0.496 0.496 0.496
Sb 0.250 0.250 0.250


Record 8
Computed, not measured: an optimized crystal structure of Cu2Ni2Sb at the PBE-GGA level of DFT.

Values from the calculation:
The magnetization is 0.00 μB/f.u. As for the space group: No. 139. The value obtained for the density of states at the Fermi level is 3.162 states/eV/cell. The energy relative to the elements, uncorrected is 0.1714 eV per atom.

a = 3.451 Å, b = 3.451 Å, c = 6.527 Å
α = 74.67°, β = 74.67°, γ = 90.00°
Fractional coordinates of all 5 atoms:
Sb 0.000 0.000 0.000
Cu 0.750 0.250 0.500
Cu 0.250 0.750 0.500
Ni 0.397 0.397 0.205
Ni 0.603 0.603 0.795


Record 9
Computed, not measured: an optimized crystal structure of Cu2NiSb at the PBE-GGA level of DFT.

Values from the calculation:
The magnetization is 0.00 μB/f.u. As for the space group: No. 47. The value obtained for the density of states at the Fermi level is 1.590 states/eV/cell. The energy relative to the elements, uncorrected is 0.1258 eV per atom.

a = 3.240 Å, b = 3.557 Å, c = 5.109 Å
α = 90.00°, β = 90.00°, γ = 90.00°
Fractional coordinates of all 4 atoms:
Cu 0.000 0.000 0.017
Cu 0.000 0.000 0.483
Ni 0.500 0.500 0.250
Sb 0.500 0.500 0.750


Record 10
Computed, not measured: an optimized crystal structure of CuNiSb at the PBE-GGA level of DFT.

Values from the calculation:
The magnetization is 0.00 μB/f.u. As for the space group: No. 129. The value obtained for the density of states at the Fermi level is 4.147 states/eV/cell. The energy relative to the elements, uncorrected is -0.1132 eV per atom.

a = 3.976 Å, b = 3.976 Å, c = 5.980 Å
α = 90.00°, β = 90.00°, γ = 90.00°
Fractional coordinates of all 6 atoms:
Sb 0.000 0.500 0.215
Sb 0.500 0.000 0.785
Cu 0.000 0.500 0.772
Cu 0.500 0.000 0.228
Ni 0.000 0.000 0.500
Ni 0.500 0.500 0.500


Record 11
Computed, not measured: an optimized crystal structure of Cu2NiSb at the PBE-GGA level of DFT.

Values from the calculation:
The magnetization is 0.00 μB/f.u. As for the space group: No. 122. The value obtained for the density of states at the Fermi level is 5.191 states/eV/cell. The energy relative to the elements, uncorrected is 0.2481 eV per atom.

a = 7.129 Å, b = 7.129 Å, c = 5.612 Å
α = 50.57°, β = 50.57°, γ = 90.00°
Fractional coordinates of all 8 atoms:
Sb 0.000 0.000 0.000
Sb 0.750 0.250 0.500
Cu 0.600 0.125 0.250
Cu 0.150 0.625 0.250
Cu 0.375 0.400 0.750
Cu 0.875 0.850 0.750
Ni 0.500 0.500 0.000
Ni 0.250 0.750 0.500


Record 12
Computed, not measured: an optimized crystal structure of CuNiSb2 at the PBE-GGA level of DFT.

Values from the calculation:
The magnetization is 0.00 μB/f.u. As for the space group: No. 216. The value obtained for the density of states at the Fermi level is 2.674 states/eV/cell. The energy relative to the elements, uncorrected is 0.4959 eV per atom.

a = 4.795 Å, b = 4.795 Å, c = 4.795 Å
α = 60.00°, β = 60.00°, γ = 60.00°
Fractional coordinates of all 4 atoms:
Cu 0.500 0.500 0.500
Ni 0.250 0.250 0.250
Sb 0.000 0.000 0.000
Sb 0.750 0.750 0.750